(1)
Below is Sr2TaAg after structural relaxation, with properties calculated at the PBE level.

Unit cell a=11.043 b=11.043 c=11.043 alpha=18.64 beta=18.64 gamma=18.64
Fractional coordinates of all 4 atoms:
Sr: 0.236 0.236 0.236
Sr: 0.016 0.016 0.016
Ag: 0.761 0.761 0.761
Ta: 0.487 0.487 0.487

- formation energy (eV per atom) = 0.79
- uncorrected energy (eV for the cell shown) = -14.92
- energy above the most stable polymorph in this dataset (meV/atom) = 247.6
- symmetry = No. 160

(2)
Below is TlGa2Ge after structural relaxation, with properties calculated at the PBE level.

Unit cell a=7.772 b=7.772 c=6.273 alpha=51.72 beta=51.72 gamma=90.00
Fractional coordinates of all 8 atoms:
Ga: 0.375 0.420 0.750
Ge: 0.250 0.750 0.500
Ga: 0.580 0.125 0.250
Tl: 0.000 0.000 0.000
Ga: 0.170 0.625 0.250
Ge: 0.500 0.500 0.000
Ga: 0.875 0.830 0.750
Tl: 0.750 0.250 0.500

- formation energy (eV per atom) = 0.15
- uncorrected energy (eV for the cell shown) = -24.89
- energy above the most stable polymorph in this dataset (meV/atom) = 53.5
- symmetry = No. 122

(3)
Below is Y2InTe after structural relaxation, with properties calculated at the PBE level.

Unit cell a=5.589 b=5.589 c=5.589 alpha=130.88 beta=119.57 gamma=81.49
Fractional coordinates of all 4 atoms:
Te: 0.250 0.750 0.500
Y: 0.494 0.494 0.000
Y: 0.006 0.006 0.000
In: 0.750 0.250 0.500

- energy relative to the elements, uncorrected (eV/atom) = -0.67
- uncorrected energy (eV for the cell shown) = -21.49
- energy above the most stable polymorph in this dataset (meV/atom) = 277.2
- symmetry = No. 71

(4)
Below is Pu3ZrAu4 after structural relaxation, with properties calculated at the PBE level.

Unit cell a=3.317 b=3.317 c=16.348 alpha=90.00 beta=90.00 gamma=90.00
Fractional coordinates of all 8 atoms:
Au: 0.000 0.000 0.109
Zr: 0.500 0.500 0.000
Pu: 0.500 0.500 0.758
Au: 0.000 0.000 0.371
Au: 0.000 0.000 0.629
Au: 0.000 0.000 0.891
Pu: 0.500 0.500 0.500
Pu: 0.500 0.500 0.242

- formation energy (eV per atom) = -0.41
- uncorrected energy (eV for the cell shown) = -67.97
- symmetry = No. 123

(5)
Below is YBiPt2 after structural relaxation, with properties calculated at the PBE level.

Unit cell a=3.758 b=4.765 c=4.765 alpha=90.00 beta=90.00 gamma=90.00
Fractional coordinates of all 4 atoms:
Bi: 0.500 0.500 0.500
Pt: 0.000 0.500 0.000
Pt: 0.000 0.000 0.500
Y: 0.500 0.000 0.000

- formation energy (eV per atom) = -0.71
- uncorrected energy (eV for the cell shown) = -25.26
- symmetry = No. 123

(6)
Below is PmY3Fe after structural relaxation, with properties calculated at the PBE level.

Unit cell a=5.313 b=5.313 c=5.313 alpha=90.00 beta=90.00 gamma=90.00
Fractional coordinates of all 5 atoms:
Pm: 0.500 0.500 0.500
Y: 0.000 0.500 0.000
Y: 0.500 0.000 0.000
Y: 0.000 0.000 0.500
Fe: 0.000 0.000 0.000

- formation energy (eV per atom) = 0.11
- uncorrected energy (eV for the cell shown) = -32.05
- symmetry = No. 221

(7)
Below is ErNiSnPd after structural relaxation, with properties calculated at the PBE level.

Unit cell a=4.686 b=4.686 c=4.686 alpha=60.00 beta=60.00 gamma=60.00
Fractional coordinates of all 4 atoms:
Er: 0.750 0.750 0.750
Sn: 0.250 0.250 0.250
Ni: 0.500 0.500 0.500
Pd: 0.000 0.000 0.000

- formation energy (eV per atom) = -0.66
- uncorrected energy (eV for the cell shown) = -22.20
- symmetry = No. 216

(8)
Below is GeHN2 after structural relaxation, with properties calculated at the PBE level.

Unit cell a=5.563 b=5.563 c=5.563 alpha=30.81 beta=30.81 gamma=30.81
Fractional coordinates of all 4 atoms:
N: 0.852 0.852 0.852
N: 0.148 0.148 0.148
Ge: 0.000 0.000 0.000
H: 0.500 0.500 0.500

- uncorrected energy (eV for the cell shown) = -17.18
- energy above the most stable polymorph in this dataset (meV/atom) = 1404.4
- symmetry = No. 166

(9)
Below is K2AlRh after structural relaxation, with properties calculated at the PBE level.

Unit cell a=3.498 b=3.498 c=10.151 alpha=90.00 beta=90.00 gamma=90.00
Fractional coordinates of all 4 atoms:
K: 0.000 0.000 0.923
K: 0.500 0.500 0.328
Rh: 0.000 0.000 0.608
Al: 0.500 0.500 0.642

- formation energy (eV per atom) = -0.05
- uncorrected energy (eV for the cell shown) = -13.48
- symmetry = No. 99

(10)
Below is Nd6DyHo2 after structural relaxation, with properties calculated at the PBE level.

Unit cell a=3.667 b=10.047 c=10.047 alpha=55.96 beta=90.00 gamma=90.00
Fractional coordinates of all 9 atoms:
Nd: 0.000 0.490 0.841
Ho: 0.500 0.823 0.823
Ho: 0.500 0.177 0.177
Nd: 0.000 0.159 0.510
Dy: 0.000 0.000 0.000
Nd: 0.500 0.684 0.316
Nd: 0.000 0.841 0.490
Nd: 0.500 0.316 0.684
Nd: 0.000 0.510 0.159

- formation energy (eV per atom) = 0.13
- uncorrected energy (eV for the cell shown) = -41.21
- energy above the most stable polymorph in this dataset (meV/atom) = 45.8
- symmetry = No. 65

(11)
Below is CeMgSn after structural relaxation, with properties calculated at the PBE level.

Unit cell a=3.518 b=3.518 c=6.880 alpha=104.81 beta=104.81 gamma=90.00
Fractional coordinates of all 3 atoms:
Sn: 0.937 0.937 0.875
Ce: 0.614 0.614 0.229
Mg: 0.298 0.298 0.597

- formation energy (eV per atom) = -0.23
- uncorrected energy (eV for the cell shown) = -12.22
- symmetry = No. 107

(12)
Below is K12Rb2Na3Tl after structural relaxation, with properties calculated at the PBE level.

Unit cell a=18.583 b=18.583 c=18.583 alpha=28.21 beta=28.21 gamma=28.21
Fractional coordinates of all 18 atoms:
Na: 0.000 0.000 0.500
K: 0.884 0.884 0.373
K: 0.116 0.627 0.116
K: 0.607 0.127 0.607
K: 0.393 0.393 0.873
K: 0.873 0.393 0.393
Na: 0.000 0.500 0.000
Tl: 0.000 0.000 0.000
K: 0.373 0.884 0.884
K: 0.116 0.116 0.627
K: 0.127 0.607 0.607
K: 0.627 0.116 0.116
Rb: 0.359 0.359 0.359
K: 0.607 0.607 0.127
K: 0.393 0.873 0.393
K: 0.884 0.373 0.884
Na: 0.500 0.000 0.000
Rb: 0.641 0.641 0.641

- formation energy (eV per atom) = 0.08
- uncorrected energy (eV for the cell shown) = -19.91
- symmetry = No. 166

(13)
Below is BeV2P after structural relaxation, with properties calculated at the PBE level.

Unit cell a=4.025 b=4.025 c=4.025 alpha=60.00 beta=60.00 gamma=60.00
Fractional coordinates of all 4 atoms:
V: 0.750 0.750 0.750
P: 0.500 0.500 0.500
Be: 0.000 0.000 0.000
V: 0.250 0.250 0.250

- formation energy (eV per atom) = -0.13
- uncorrected energy (eV for the cell shown) = -27.89
- energy above the most stable polymorph in this dataset (meV/atom) = 493.0
- symmetry = No. 225

(14)
Below is MgIn14Pb after structural relaxation, with properties calculated at the PBE level.

Unit cell a=6.966 b=6.966 c=8.903 alpha=90.00 beta=90.00 gamma=90.00
Fractional coordinates of all 16 atoms:
In: 0.129 0.129 0.749
In: 0.375 0.375 0.000
In: 0.621 0.621 0.749
In: 0.129 0.621 0.749
In: 0.621 0.129 0.251
In: 0.129 0.621 0.251
In: 0.375 0.875 0.000
In: 0.375 0.875 0.500
In: 0.621 0.129 0.749
Pb: 0.875 0.875 0.500
Mg: 0.375 0.375 0.500
In: 0.621 0.621 0.251
In: 0.875 0.875 0.000
In: 0.875 0.375 0.500
In: 0.875 0.375 0.000
In: 0.129 0.129 0.251

- formation energy (eV per atom) = 0.01
- uncorrected energy (eV for the cell shown) = -43.48
- symmetry = No. 123

(15)
Below is NdAgSbF after structural relaxation, with properties calculated at the PBE level.

Unit cell a=4.233 b=4.233 c=9.392 alpha=90.00 beta=90.00 gamma=90.00
Fractional coordinates of all 8 atoms:
Ag: 0.500 0.500 0.500
Nd: 0.500 0.000 0.163
Sb: 0.500 0.000 0.708
F: 0.000 0.000 0.000
Sb: 0.000 0.500 0.292
Nd: 0.000 0.500 0.837
Ag: 0.000 0.000 0.500
F: 0.500 0.500 0.000

- energy relative to the elements, uncorrected (eV/atom) = -1.69
- uncorrected energy (eV for the cell shown) = -40.77
- symmetry = No. 129

(16)
Below is Y2SnHg after structural relaxation, with properties calculated at the PBE level.

Unit cell a=4.411 b=6.122 c=8.776 alpha=111.43 beta=90.00 gamma=90.00
Fractional coordinates of all 8 atoms:
Hg: 0.750 0.686 0.298
Y: 0.250 0.779 0.570
Sn: 0.750 0.671 0.793
Y: 0.750 0.226 0.931
Y: 0.250 0.774 0.069
Sn: 0.250 0.329 0.207
Y: 0.750 0.221 0.430
Hg: 0.250 0.314 0.702

- formation energy (eV per atom) = -0.62
- uncorrected energy (eV for the cell shown) = -39.45
- symmetry = No. 11

(17)
Below is Li6Sb2Pd after structural relaxation, with properties calculated at the PBE level.

Unit cell a=4.390 b=4.793 c=8.443 alpha=99.97 beta=90.00 gamma=117.26
Fractional coordinates of all 9 atoms:
Li: 0.321 0.642 0.930
Li: 0.316 0.632 0.592
Sb: 0.360 0.720 0.269
Li: 0.029 0.057 0.196
Li: 0.679 0.358 0.070
Pd: 0.000 0.000 0.500
Sb: 0.640 0.280 0.731
Li: 0.971 0.943 0.804
Li: 0.684 0.368 0.408

- energy relative to the elements, uncorrected (eV/atom) = -0.52
- uncorrected energy (eV for the cell shown) = -29.57
- symmetry = No. 12

(18)
Below is PrNdPbI after structural relaxation, with properties calculated at the PBE level.

Unit cell a=5.611 b=5.611 c=5.611 alpha=60.00 beta=60.00 gamma=60.00
Fractional coordinates of all 4 atoms:
I: 0.750 0.750 0.750
Pb: 0.250 0.250 0.250
Pr: 0.500 0.500 0.500
Nd: 0.000 0.000 0.000

- energy relative to the elements, uncorrected (eV/atom) = -0.66
- uncorrected energy (eV for the cell shown) = -17.44
- symmetry = No. 216

(19)
Below is Ca2LaBiC after structural relaxation, with properties calculated at the PBE level.

Unit cell a=5.092 b=5.092 c=5.134 alpha=90.00 beta=90.00 gamma=90.00
Fractional coordinates of all 5 atoms:
C: 0.000 0.000 0.000
Ca: 0.000 0.500 0.000
Ca: 0.500 0.000 0.000
Bi: 0.500 0.500 0.500
La: 0.000 0.000 0.500

- formation energy (eV per atom) = -0.48
- uncorrected energy (eV for the cell shown) = -24.45
- symmetry = No. 123

(20)
Below is BaSrTc2 after structural relaxation, with properties calculated at the PBE level.

Unit cell a=4.184 b=4.184 c=9.289 alpha=77.71 beta=77.71 gamma=59.95
Fractional coordinates of all 4 atoms:
Tc: 0.702 0.702 0.896
Ba: 0.461 0.461 0.603
Tc: 0.045 0.045 0.863
Sr: 0.292 0.292 0.139

- formation energy (eV per atom) = 0.29
- uncorrected energy (eV for the cell shown) = -23.19
- energy above the most stable polymorph in this dataset (meV/atom) = 0.0
- symmetry = No. 8

(21)
Below is EuScHg after structural relaxation, with properties calculated at the PBE level.

Unit cell a=3.846 b=5.047 c=5.047 alpha=120.00 beta=90.00 gamma=90.00
Fractional coordinates of all 3 atoms:
Hg: 0.165 0.000 0.000
Sc: 0.168 0.667 0.333
Eu: 0.667 0.333 0.667

- formation energy (eV per atom) = -0.18
- uncorrected energy (eV for the cell shown) = -17.44
- energy above the most stable polymorph in this dataset (meV/atom) = 60.7
- symmetry = No. 156

(22)
Below is TaCuTe2 after structural relaxation, with properties calculated at the PBE level.

Unit cell a=3.536 b=3.536 c=7.486 alpha=90.00 beta=90.00 gamma=90.00
Fractional coordinates of all 4 atoms:
Te: 0.500 0.500 0.357
Cu: 0.000 0.000 0.514
Ta: 0.500 0.500 0.720
Te: 0.000 0.000 0.908

- energy relative to the elements, uncorrected (eV/atom) = 0.07
- uncorrected energy (eV for the cell shown) = -21.94
- symmetry = No. 99

(23)
Below is LiNiAs3 after structural relaxation, with properties calculated at the PBE level.

Unit cell a=4.466 b=4.466 c=4.466 alpha=90.00 beta=90.00 gamma=90.00
Fractional coordinates of all 5 atoms:
As: 0.000 0.000 0.500
Li: 0.000 0.000 0.000
Ni: 0.500 0.500 0.500
As: 0.500 0.000 0.000
As: 0.000 0.500 0.000

- formation energy (eV per atom) = 0.72
- uncorrected energy (eV for the cell shown) = -18.07
- energy above the most stable polymorph in this dataset (meV/atom) = 515.9
- symmetry = No. 221

(24)
Below is PaMnIrPd after structural relaxation, with properties calculated at the PBE level.

Unit cell a=4.714 b=4.714 c=4.714 alpha=60.00 beta=60.00 gamma=60.00
Fractional coordinates of all 4 atoms:
Mn: 0.750 0.750 0.750
Pd: 0.500 0.500 0.500
Ir: 0.000 0.000 0.000
Pa: 0.250 0.250 0.250

- formation energy (eV per atom) = -0.34
- uncorrected energy (eV for the cell shown) = -34.08
- symmetry = No. 216

(25)
Below is ErSiB after structural relaxation, with properties calculated at the PBE level.

Unit cell a=3.741 b=3.741 c=6.818 alpha=105.93 beta=105.93 gamma=90.00
Fractional coordinates of all 6 atoms:
Er: 0.250 0.750 0.500
Si: 0.842 0.342 0.685
Si: 0.658 0.158 0.315
B: 0.070 0.070 0.141
B: 0.930 0.930 0.859
Er: 0.500 0.500 0.000

- energy relative to the elements, uncorrected (eV/atom) = -0.58
- uncorrected energy (eV for the cell shown) = -36.79
- energy above the most stable polymorph in this dataset (meV/atom) = 83.2
- symmetry = No. 119

(26)
Below is Tb4PmCd4 after structural relaxation, with properties calculated at the PBE level.

Unit cell a=5.619 b=9.521 c=9.521 alpha=90.00 beta=90.00 gamma=90.00
Fractional coordinates of all 18 atoms:
Tb: 0.424 0.576 0.153
Cd: 0.074 0.299 0.396
Cd: 0.926 0.396 0.701
Pm: 0.000 0.000 0.000
Cd: 0.074 0.701 0.604
Cd: 0.574 0.896 0.201
Cd: 0.426 0.201 0.104
Tb: 0.576 0.153 0.424
Cd: 0.926 0.604 0.299
Tb: 0.076 0.076 0.653
Cd: 0.426 0.799 0.896
Pm: 0.500 0.500 0.500
Cd: 0.574 0.104 0.799
Tb: 0.576 0.847 0.576
Tb: 0.424 0.424 0.847
Tb: 0.076 0.924 0.347
Tb: 0.924 0.347 0.076
Tb: 0.924 0.653 0.924

- formation energy (eV per atom) = -0.12
- uncorrected energy (eV for the cell shown) = -56.06
- symmetry = No. 86